*a*
Y2Sc3: relaxed, PBE.

Computed properties:
The value obtained for the density of states at the Fermi level is 35.630 states/eV/cell.

```
data_Y2Sc3
_symmetry_space_group_name_H-M 'P b c n'
_symmetry_Int_Tables_number 60
_cell_length_a 6.620
_cell_length_b 8.747
_cell_length_c 9.616
_cell_angle_alpha 90.00
_cell_angle_beta 90.00
_cell_angle_gamma 90.00
loop_
_symmetry_equiv_pos_as_xyz
'x,y,z'
'-x,-y,-z'
'-x+1/2,-y+1/2,z+1/2'
'x+1/2,y+1/2,-z+1/2'
'x+1/2,-y+1/2,-z'
'-x+1/2,y+1/2,z'
'-x,y,-z+1/2'
'x,-y,z+1/2'
loop_
_atom_site_label
_atom_site_fract_x
_atom_site_fract_y
_atom_site_fract_z
Y1 0.112 0.190 0.095
Sc1 0.000 0.148 0.750
Sc2 0.145 0.472 0.871
```

*b*
Y2Sc3: relaxed, PBE.

Computed properties:
The value obtained for the density of states at the Fermi level is 27.722 states/eV/cell.

```
data_Y2Sc3
_symmetry_space_group_name_H-M 'R -3 m'
_symmetry_Int_Tables_number 166
_symmetry_space_group_name_Hall '-R 3 2"'
_cell_length_a 3.4040
_cell_length_b 3.4040
_cell_length_c 41.1543
_cell_angle_alpha 90.00
_cell_angle_beta 90.00
_cell_angle_gamma 120.00
loop_
_atom_site_label
_atom_site_fract_x
_atom_site_fract_y
_atom_site_fract_z
Y1 0.0000 0.0000 0.2034
Sc1 0.0000 0.0000 0.0000
Sc2 0.0000 0.0000 0.3960
```

Stability ranking, top and bottom: *b* is the most stable and *a* is the least stable.

*a*
Y3Sc4: relaxed, PBE.

Computed properties:
The value obtained for the density of states at the Fermi level is 24.073 states/eV/cell.

```
data_Y3Sc4
_symmetry_space_group_name_H-M 'I m m m'
_symmetry_Int_Tables_number 71
_symmetry_space_group_name_Hall '-I 2 2'
_cell_length_a 3.433
_cell_length_b 4.705
_cell_length_c 24.002
_cell_angle_alpha 90.00
_cell_angle_beta 90.00
_cell_angle_gamma 90.00
loop_
_atom_site_label
_atom_site_fract_x
_atom_site_fract_y
_atom_site_fract_z
Y1 0.000 0.000 0.000
Y2 0.000 0.000 0.144
Sc1 0.000 0.000 0.283
Sc2 0.000 0.000 0.427
```

*b*
Y3Sc4: relaxed, PBE.

Computed properties:
The value obtained for the density of states at the Fermi level is 15.687 states/eV/cell.

```
data_Y3Sc4
_symmetry_space_group_name_H-M 'P 6/m m m'
_symmetry_Int_Tables_number 191
_symmetry_space_group_name_Hall '-P 6 2'
_cell_length_a 6.2814
_cell_length_b 6.2814
_cell_length_c 5.9556
_cell_angle_alpha 90.00
_cell_angle_beta 90.00
_cell_angle_gamma 120.00
loop_
_atom_site_label
_atom_site_fract_x
_atom_site_fract_y
_atom_site_fract_z
Y1 0.0000 0.5000 0.0000
Sc1 0.0000 0.0000 0.2577
Sc2 0.3333 0.6667 0.5000
```

Stability ranking, top and bottom: *a* is the most stable and *b* is the least stable.